The following is a GGA-PBE calculation of a geometry-optimized La7Dy12Th structure, from Alexandria.

a = 9.9599 Å, b = 9.9599 Å, c = 9.9599 Å
α = 109.47°, β = 109.47°, γ = 109.47°
Fractional positions:
La 0.5000 0.0000 0.5000
La 0.0000 0.5000 0.0000
La 0.5000 0.0000 0.0000
La 0.0000 0.0000 0.5000
La 0.5000 0.5000 0.0000
La 0.0000 0.5000 0.5000
La 0.5000 0.5000 0.5000
Dy 0.7803 0.9997 0.2195
Dy 0.2197 0.0003 0.7805
Dy 0.0003 0.7805 0.2197
Dy 0.7803 0.5608 0.7805
Dy 0.2195 0.7803 0.9997
Dy 0.7805 0.2197 0.0003
Dy 0.2195 0.2197 0.4392
Dy 0.4392 0.2195 0.2197
Dy 0.7805 0.7803 0.5608
Dy 0.9997 0.2195 0.7803
Dy 0.2197 0.4392 0.2195
Dy 0.5608 0.7805 0.7803
Th 0.0000 0.0000 0.0000

Values from the calculation:
Space-group type: Im-3m

The following is a GGA-PBE calculation of a geometry-optimized LaDy12Th2 structure, from Alexandria.

a = 6.6411 Å, b = 6.6411 Å, c = 24.9870 Å
α = 90.00°, β = 90.00°, γ = 116.20°
Fractional positions:
Dy 0.2484 0.7484 0.1325
Dy 0.0000 0.0000 0.3281
Dy 0.2630 0.7630 0.4109
Dy 0.5000 0.5000 0.6719
Dy 0.2323 0.2677 0.4394
Dy 0.7484 0.2484 0.8675
Dy 0.0000 0.0000 0.7970
Dy 0.7516 0.7484 0.9177
Dy 0.7370 0.2370 0.4109
Dy 0.2516 0.7516 0.8675
Dy 0.2484 0.2516 0.9177
Dy 0.2516 0.2484 0.0823
Dy 0.7630 0.2630 0.5891
Dy 0.7484 0.7516 0.0823
Dy 0.2677 0.2323 0.5606
Dy 0.7516 0.2516 0.1325
Dy 0.5000 0.5000 0.2030
Dy 0.7323 0.7677 0.5606
Dy 0.5000 0.5000 0.7970
Dy 0.0000 0.0000 0.2030
Dy 0.0000 0.0000 0.6719
Dy 0.2370 0.7370 0.5891
Dy 0.5000 0.5000 0.3281
Dy 0.7677 0.7323 0.4394
Th 0.0000 0.5000 0.7332
Th 0.5000 0.0000 0.7283
Th 0.0000 0.5000 0.2717
Th 0.5000 0.0000 0.2668
La 0.5000 0.0000 0.9991
La 0.0000 0.5000 0.0009

Values from the calculation:
Space-group type: Cmme

The following is a GGA-PBE calculation of a geometry-optimized La5Dy3Th2 structure, from Alexandria.

a = 10.2156 Å, b = 10.1773 Å, c = 11.2330 Å
α = 129.51°, β = 129.59°, γ = 66.24°
Fractional positions:
Th 0.5320 0.2776 0.2484
Th 0.7836 0.0292 0.7516
Th 0.4680 0.7224 0.7516
Th 0.2164 0.9708 0.2484
La 0.5117 0.2617 0.5234
La 0.4883 0.7383 0.4766
La 0.3769 0.1275 0.7580
La 0.0243 0.7743 0.5485
La 0.8812 0.6305 0.7580
La 0.9757 0.2257 0.4515
La 0.6231 0.8725 0.2420
La 0.1188 0.3695 0.2420
La 0.7211 0.4711 0.9421
La 0.2789 0.5289 0.0579
Dy 0.7250 0.4689 0.2484
Dy 0.9766 0.2205 0.7516
Dy 0.2324 0.9824 0.9647
Dy 0.0234 0.7795 0.2484
Dy 0.2750 0.5311 0.7516
Dy 0.7676 0.0176 0.0353

Values from the calculation:
Space-group type: C2/c

The following is a GGA-PBE calculation of a geometry-optimized La2Dy7Th3 structure, from Alexandria.

a = 3.5116 Å, b = 6.4033 Å, c = 17.9097 Å
α = 75.94°, β = 90.00°, γ = 90.00°
Fractional positions:
Th 0.0000 0.8716 0.6621
Th 0.5000 0.5000 0.0000
Th 0.0000 0.1284 0.3379
La 0.5000 0.6340 0.3299
La 0.5000 0.3660 0.6701
Dy 0.5000 0.7556 0.5056
Dy 0.0000 0.4440 0.8377
Dy 0.5000 0.2444 0.4944
Dy 0.0000 0.5560 0.1623
Dy 0.0000 0.0000 0.0000
Dy 0.5000 0.0738 0.1665
Dy 0.5000 0.9262 0.8335

Values from the calculation:
Space-group type: P2/m

no.,total energy (eV per atom),ΔE_f (eV/atom)
1,-4.23,0.627
2,-4.83,0.174
3,-5.14,0.187
4,-5.26,0.096